# 1
Density functional theory data (PBE) for a relaxed structure of TaSbRh2.

Summary:
Mass density in Mg/m³: 12.41
Crystal system: tetragonal
Formation energy (no corrections) in kJ/mol of formula units: -54
Uncorrected energy in eV/cell: -31.2
Total magnetic moment in μB per atom: 0.00

Structure (POSCAR):
```
TaSbRh2
1.0
4.776 0.000 0.000
0.000 4.776 0.000
0.000 0.000 2.983
Ta Sb Rh
1 1 2
direct
0.000 0.000 0.000
0.500 0.500 0.000
0.000 0.500 0.500
0.500 0.000 0.500
```

---

# 2
Density functional theory data (PBE) for a relaxed structure of YSc2Mn.

Summary:
Mass density in Mg/m³: 4.24
Relative energy among the computed polymorphs in meV per atom: 284.7
E_form in eV per atom: 0.37
Crystal system: trigonal
Uncorrected energy in eV/cell: -26.8
Total magnetic moment in μB per atom: 0.00

Structure (POSCAR):
```
YSc2Mn
1.0
1.608 0.928 10.221
-1.608 0.928 10.221
0.000 -1.857 10.221
Y Sc Mn
1 2 1
direct
0.000 0.000 0.000
0.108 0.108 0.108
0.892 0.892 0.892
0.500 0.500 0.500
```

---

# 3
Density functional theory data (PBE) for a relaxed structure of MgScInGa.

Summary:
Mass density in Mg/m³: 5.02
Relative energy among the computed polymorphs in meV per atom: 120.5
E_form in eV per atom: -0.26
Crystal system: cubic
Uncorrected energy in eV/cell: -14.7
Total magnetic moment in μB per atom: 0.00

Structure (POSCAR):
```
MgScInGa
1.0
0.000 3.474 3.474
3.474 0.000 3.474
3.474 3.474 0.000
Mg Sc In Ga
1 1 1 1
direct
0.000 0.000 0.000
0.500 0.500 0.500
0.250 0.250 0.250
0.750 0.750 0.750
```

---

# 4
Density functional theory data (PBE) for a relaxed structure of GdThGe.

Summary:
Mass density in Mg/m³: 9.19
E_form in eV per atom: -0.21
Crystal system: trigonal
Uncorrected energy in eV/cell: -26.7
Total magnetic moment in μB per atom: 2.47

Structure (POSCAR):
```
GdThGe
1.0
4.837 0.000 0.000
-2.419 4.189 0.000
0.000 0.000 4.120
Gd Th Ge
1 1 1
direct
0.000 0.000 0.000
0.333 0.667 0.523
0.667 0.333 0.190
```

---

# 5
Density functional theory data (PBE) for a relaxed structure of LaAgMo.

Summary:
Mass density in Mg/m³: 6.92
Relative energy among the computed polymorphs in meV per atom: 754.4
E_form in eV per atom: 1.25
Crystal system: cubic
Uncorrected energy in eV/cell: -14.9
Total magnetic moment in μB per atom: 0.92

Structure (POSCAR):
```
LaAgMo
1.0
0.000 3.452 3.452
3.452 0.000 3.452
3.452 3.452 0.000
La Ag Mo
1 1 1
direct
0.000 0.000 0.000
0.250 0.250 0.250
0.750 0.750 0.750
```

---

# 6
Density functional theory data (PBE) for a relaxed structure of ZnCdGeC2.

Summary:
Mass density in Mg/m³: 4.79
E_form in eV per atom: 2.44
Crystal system: tetragonal
Uncorrected energy in eV/cell: -13.0
Total magnetic moment in μB per atom: 0.25

Structure (POSCAR):
```
ZnCdGeC2
1.0
4.248 0.000 0.000
0.000 4.248 0.000
0.000 0.000 5.274
Zn Cd Ge C
1 1 1 2
direct
0.000 0.000 0.000
0.000 0.000 0.500
0.500 0.500 0.000
0.000 0.500 0.500
0.500 0.000 0.500
```

---

Question: The highest uncorrected energy belongs to which entry?
Answer: ZnCdGeC2

---

Question: Which value of mass density does entry 2 give?
Answer: 4.24 Mg/m³